(1)
NaPuBi6: relaxed, GGA-PBE.

DOS(E_F) ... 1.425 states/eV/atom
Symmetry ... P4/mmm, No. 123
ρ ... 10.44 g/cm3
Energy ... -40.52 eV/cell
Size of the total moment ... 5.63 μB per formula unit

```
NaPuBi6
1.0
-3.009 -1.040 -3.766
1.429 -4.718 0.161
-7.334 -2.003 6.413
Na Pu Bi
1 1 6
Direct
0.000 0.000 0.000
0.000 0.000 0.500
0.500 0.500 0.000
0.500 0.500 0.500
0.500 0.000 0.251
0.500 0.000 0.749
0.000 0.500 0.251
0.000 0.500 0.749
```

=====

(2)
Na3PuBi2S6: relaxed, GGA-PBE.

DOS(E_F) ... 1.008 states/eV/atom
Energy relative to the elements, uncorrected ... -1.00 eV per atom
Symmetry ... C2/m, No. 12
ρ ... 5.27 g/cm3
Size of the total moment ... 5.00 μB per formula unit

```
Na3PuBi2S6
1.0
-0.690 -4.740 5.192
6.262 0.914 -3.138
-0.277 6.006 3.845
Na Pu Bi S
3 1 2 6
Direct
0.171 0.829 0.500
0.829 0.171 0.500
0.500 0.500 0.500
0.000 0.000 0.000
0.334 0.666 0.000
0.666 0.334 0.000
0.922 0.593 0.766
0.749 0.749 0.234
0.078 0.407 0.234
0.593 0.922 0.766
0.251 0.251 0.766
0.407 0.078 0.234
```

=====

(3)
Na3Pu3BiS8: relaxed, GGA-PBE.

DOS(E_F) ... 1.665 states/eV/atom
Energy relative to the elements, uncorrected ... -1.31 eV per atom
Symmetry ... R-3m, No. 166
ρ ... 5.61 g/cm3
Size of the total moment ... 14.00 μB per formula unit

```
Na3Pu3BiS8
1.0
-1.728 0.295 7.891
-4.888 -3.974 -5.062
7.335 -2.993 1.718
Na Pu Bi S
3 3 1 8
Direct
0.000 0.000 0.000
0.000 0.500 0.000
0.500 0.500 0.000
0.500 0.000 0.500
0.500 0.500 0.500
0.000 0.500 0.500
0.000 0.000 0.500
0.259 0.517 0.276
0.741 0.483 0.724
0.754 0.508 0.276
0.246 0.492 0.724
0.754 0.022 0.276
0.246 0.978 0.724
0.267 0.022 0.276
0.733 0.978 0.724
```

=====

(4)
Na4Pu3BiS8: relaxed, GGA-PBE.

DOS(E_F) ... 1.739 states/eV/atom
Energy relative to the elements, uncorrected ... -1.34 eV per atom
Symmetry ... R-3m, No. 166
ρ ... 5.63 g/cm3
Size of the total moment ... 15.00 μB per formula unit

```
Na4Pu3BiS8
1.0
8.122 0.000 0.000
0.000 8.139 0.005
-4.061 -4.055 5.746
Na Pu Bi S
4 3 1 8
Direct
0.500 0.000 0.000
0.500 0.000 0.500
0.000 0.000 0.000
0.000 0.000 0.500
0.500 0.500 0.000
0.500 0.500 0.500
0.000 0.500 0.500
0.000 0.500 0.000
0.246 0.731 0.984
0.246 0.731 0.493
0.259 0.277 0.518
0.738 0.731 0.984
0.262 0.269 0.016
0.741 0.723 0.482
0.754 0.269 0.507
0.754 0.269 0.016
```

=====

(5)
Na3Pu2BiS6: relaxed, GGA-PBE.

DOS(E_F) ... 1.404 states/eV/atom
Energy relative to the elements, uncorrected ... -1.28 eV per atom
Symmetry ... C2/m, No. 12
ρ ... 5.58 g/cm3
Size of the total moment ... 10.00 μB per formula unit

```
Na3Pu2BiS6
1.0
7.025 -0.001 0.001
-3.512 6.085 0.001
-1.172 -2.029 6.677
Na Pu Bi S
3 2 1 6
Direct
0.163 0.837 0.500
0.837 0.163 0.500
0.500 0.500 0.500
0.333 0.667 0.000
0.667 0.333 0.000
0.000 0.000 0.000
0.923 0.582 0.770
0.736 0.736 0.231
0.077 0.418 0.230
0.582 0.923 0.770
0.264 0.264 0.769
0.418 0.077 0.230
```

=====

(6)
Na2PuBiS4: relaxed, GGA-PBE.

DOS(E_F) ... 1.245 states/eV/atom
Energy relative to the elements, uncorrected ... -1.13 eV per atom
Symmetry ... P2/m, No. 10
ρ ... 5.41 g/cm3
Size of the total moment ... 5.00 μB per formula unit

```
Na2PuBiS4
1.0
-1.322 1.990 3.295
2.394 -5.218 4.111
5.115 4.856 -0.882
Na Pu Bi S
2 1 1 4
Direct
0.500 0.000 0.500
0.000 0.500 0.500
0.500 0.500 0.000
0.000 0.000 0.000
0.500 0.250 0.235
0.500 0.750 0.765
0.000 0.263 0.772
0.000 0.737 0.228
```

=====

(7)
NaPuBiSb: relaxed, GGA-PBE.

DOS(E_F) ... 3.490 states/eV/atom
Energy relative to the elements, uncorrected ... -0.29 eV per atom
Symmetry ... F-43m, No. 216
ρ ... 8.77 g/cm3
Size of the total moment ... 5.58 μB per formula unit

```
NaPuBiSb
1.0
5.429 0.000 0.000
2.714 4.701 0.000
2.714 1.567 4.432
Sb Na Bi Pu
1 1 1 1
Direct
0.500 0.500 0.500
0.750 0.750 0.750
0.000 0.000 0.000
0.250 0.250 0.250
```

=====

(8)
Na4Pu3BiSe8: relaxed, GGA-PBE.

DOS(E_F) ... 2.082 states/eV/atom
Energy relative to the elements, uncorrected ... -1.23 eV per atom
Symmetry ... R-3m, No. 166
ρ ... 6.40 g/cm3
Size of the total moment ... 15.00 μB per formula unit

```
Na4Pu3BiSe8
1.0
-6.027 3.998 -4.383
-5.516 -6.183 1.946
4.129 4.048 6.173
Na Pu Bi Se
4 3 1 8
Direct
0.500 0.000 0.000
0.500 0.000 0.500
0.000 0.000 0.000
0.000 0.000 0.500
0.500 0.500 0.000
0.500 0.500 0.500
0.000 0.500 0.500
0.000 0.500 0.000
0.247 0.734 0.987
0.247 0.734 0.494
0.257 0.273 0.515
0.740 0.734 0.987
0.260 0.266 0.013
0.743 0.727 0.485
0.753 0.266 0.506
0.753 0.266 0.013
```

=====

(9)
Na2PuBiSe4: relaxed, GGA-PBE.

DOS(E_F) ... 1.406 states/eV/atom
Energy relative to the elements, uncorrected ... -1.06 eV per atom
Symmetry ... P2/m, No. 10
ρ ... 6.20 g/cm3
Size of the total moment ... 5.00 μB per formula unit

```
Na2PuBiSe4
1.0
4.238 0.000 0.000
0.000 7.341 0.111
0.000 -2.579 6.979
Na Pu Bi Se
2 1 1 4
Direct
0.500 0.000 0.500
0.000 0.500 0.500
0.500 0.500 0.000
0.000 0.000 0.000
0.500 0.249 0.238
0.500 0.751 0.762
0.000 0.261 0.768
0.000 0.739 0.232
```

=====

(10)
NaPuBi2Se4: relaxed, GGA-PBE.

DOS(E_F) ... 1.611 states/eV/atom
Energy relative to the elements, uncorrected ... -0.72 eV per atom
Symmetry ... P2/m, No. 10
ρ ... 6.95 g/cm3
Size of the total moment ... 5.07 μB per formula unit

```
NaPuBi2Se4
1.0
-3.362 -0.817 -2.317
4.624 -6.209 -4.521
-3.920 -1.649 6.270
Na Pu Bi Se
1 1 2 4
Direct
0.000 0.000 0.000
0.500 0.500 0.000
0.500 0.000 0.500
0.000 0.500 0.500
0.500 0.288 0.188
0.500 0.712 0.812
0.000 0.282 0.693
0.000 0.718 0.307
```

=====

(11)
Na4Pu3BiTe8: relaxed, GGA-PBE.

DOS(E_F) ... 2.505 states/eV/atom
Energy relative to the elements, uncorrected ... -0.90 eV per atom
Symmetry ... R-3m, No. 166
ρ ... 6.45 g/cm3
Size of the total moment ... 15.00 μB per formula unit

```
Na4Pu3BiTe8
1.0
-6.904 4.794 -3.277
0.729 -4.400 -7.972
-1.003 -4.722 7.623
Na Pu Bi Te
4 3 1 8
Direct
0.500 0.000 0.000
0.500 0.000 0.500
0.000 0.000 0.000
0.000 0.000 0.500
0.500 0.500 0.000
0.500 0.500 0.500
0.000 0.500 0.500
0.000 0.500 0.000
0.246 0.736 0.989
0.246 0.736 0.493
0.256 0.268 0.512
0.743 0.736 0.989
0.257 0.264 0.011
0.744 0.732 0.488
0.754 0.264 0.507
0.754 0.264 0.011
```

=====

(12)
Na3PuBi2Te6: relaxed, GGA-PBE.

DOS(E_F) ... 1.065 states/eV/atom
Energy relative to the elements, uncorrected ... -0.69 eV per atom
Symmetry ... C2/m, No. 12
ρ ... 6.18 g/cm3
Size of the total moment ... 5.00 μB per formula unit

```
Na3PuBi2Te6
1.0
-4.089 3.726 -5.513
5.469 -5.195 -2.025
-5.685 -5.061 2.634
Na Pu Bi Te
3 1 2 6
Direct
0.172 0.828 0.500
0.828 0.172 0.500
0.500 0.500 0.500
0.000 0.000 0.000
0.334 0.666 0.000
0.666 0.334 0.000
0.922 0.589 0.764
0.747 0.747 0.239
0.078 0.411 0.236
0.589 0.922 0.764
0.253 0.253 0.761
0.411 0.078 0.236
```

=====

(13)
NaPuTlBi: relaxed, GGA-PBE.

DOS(E_F) ... 3.703 states/eV/atom
Symmetry ... F-43m, No. 216
ρ ... 9.72 g/cm3
Energy ... -22.57 eV/cell
Size of the total moment ... 5.98 μB per formula unit

```
NaPuTlBi
1.0
5.477 0.000 0.000
2.739 4.743 0.000
2.739 1.581 4.472
Na Tl Bi Pu
1 1 1 1
Direct
0.000 0.000 0.000
0.250 0.250 0.250
0.750 0.750 0.750
0.500 0.500 0.500
```

=====

(14)
NaPuZnBi: relaxed, GGA-PBE.

DOS(E_F) ... 3.522 states/eV/atom
Symmetry ... F-43m, No. 216
ρ ... 8.43 g/cm3
Energy ... -21.43 eV/cell
Size of the total moment ... 5.97 μB per formula unit

```
NaPuZnBi
1.0
-2.935 -3.496 -2.736
-2.766 -3.745 2.578
-5.312 0.267 0.181
Na Zn Bi Pu
1 1 1 1
Direct
0.750 0.750 0.750
0.500 0.500 0.500
0.000 0.000 0.000
0.250 0.250 0.250
```

=====

(15)
RbNa4Bi: relaxed, GGA-PBE.

DOS(E_F) ... 0.152 states/eV/atom
Symmetry ... F-43m, No. 216
ρ ... 2.97 g/cm3
Energy ... -10.66 eV/cell
Size of the total moment ... 0.00 μB per formula unit

```
RbNa4Bi
1.0
-5.824 2.017 -2.708
-4.898 -4.469 -1.162
-5.597 0.092 3.739
Na Bi Rb
4 1 1
Direct
0.625 0.625 0.124
0.625 0.124 0.625
0.625 0.625 0.625
0.124 0.625 0.625
0.000 0.000 0.000
0.250 0.250 0.250
```

=====

(16)
Rb2NaBi: relaxed, GGA-PBE.

DOS(E_F) ... 0.277 states/eV/atom
Symmetry ... I-42d, No. 122
ρ ... 3.58 g/cm3
Energy ... -14.46 eV/cell
Size of the total moment ... 0.00 μB per formula unit

```
Rb2NaBi
1.0
-1.388 2.657 -4.531
-2.345 -4.507 -1.925
-12.811 2.483 2.125
Na Bi Rb
2 2 4
Direct
0.500 0.500 0.000
0.250 0.750 0.500
0.000 0.000 0.000
0.750 0.250 0.500
0.630 0.125 0.250
0.120 0.625 0.250
0.375 0.370 0.750
0.875 0.880 0.750
```

=====

(17)
RbNa6Bi4: relaxed, GGA-PBE.

DOS(E_F) ... 0.414 states/eV/atom
Symmetry ... I-42m, No. 121
ρ ... 4.00 g/cm3
Energy ... -26.25 eV/cell
Size of the total moment ... 0.00 μB per formula unit

```
RbNa6Bi4
1.0
8.503 -0.131 -0.192
-4.047 7.479 0.192
-4.047 -2.571 7.026
Rb Na Bi
1 6 4
Direct
0.000 0.000 0.000
0.000 0.886 0.532
0.000 0.532 0.886
0.645 0.114 0.114
0.500 0.000 0.500
0.355 0.468 0.468
0.500 0.500 0.000
0.000 0.270 0.622
0.647 0.378 0.378
0.000 0.622 0.270
0.353 0.730 0.730
```

=====

(18)
Rb3Na3Bi2: relaxed, GGA-PBE.

DOS(E_F) ... 0.236 states/eV/atom
Symmetry ... Cmcm, No. 63
ρ ... 3.27 g/cm3
Size of the total moment ... 0.00 μB per formula unit
E above lowest polymorph ... 0.010 eV per atom

```
Rb3Na3Bi2
1.0
-4.007 -0.837 -3.967
-2.556 -0.139 6.706
-3.297 19.799 -0.845
Rb Na Bi
6 6 4
Direct
0.927 0.854 0.398
0.073 0.146 0.898
0.927 0.854 0.102
0.073 0.146 0.602
0.629 0.259 0.250
0.371 0.741 0.750
0.678 0.355 0.463
0.322 0.645 0.963
0.678 0.355 0.037
0.322 0.645 0.537
0.306 0.611 0.250
0.694 0.389 0.750
0.783 0.566 0.890
0.217 0.434 0.390
0.783 0.566 0.610
0.217 0.434 0.110
```

=====

(19)
RbNaBi3: relaxed, GGA-PBE.

DOS(E_F) ... 0.665 states/eV/atom
Symmetry ... Pm-3m, No. 221
ρ ... 6.45 g/cm3
Size of the total moment ... 0.00 μB per formula unit
E above lowest polymorph ... 0.341 eV per atom

```
RbNaBi3
1.0
-0.688 -2.447 5.149
5.656 0.360 0.927
-0.718 5.183 2.367
Na Bi Rb
1 3 1
Direct
0.000 0.000 0.000
0.000 0.500 0.000
0.000 0.000 0.500
0.500 0.000 0.000
0.500 0.500 0.500
```

=====

(20)
RbNa3Bi: relaxed, GGA-PBE.

DOS(E_F) ... 0.203 states/eV/atom
Symmetry ... C2/m, No. 12
ρ ... 2.78 g/cm3
Size of the total moment ... 0.00 μB per formula unit
E above lowest polymorph ... 0.000 eV per atom

```
RbNa3Bi
1.0
5.401 0.000 0.000
-2.700 9.842 -5.773
0.000 -13.219 15.916
Rb Na Bi
2 6 2
Direct
0.305 0.610 0.716
0.695 0.390 0.284
0.762 0.525 0.072
0.238 0.475 0.928
0.386 0.771 0.617
0.677 0.355 0.744
0.614 0.229 0.383
0.323 0.645 0.256
0.021 0.041 0.837
0.979 0.959 0.163
```